No. 1
A relaxed structure of SiB2Ru5W2, computed with PBE.

Cell: 9.284 9.284 2.880 Å, 90.00 90.00 90.00°
Space group P4/mbm (No. 127)
Symmetry-distinct sites (fractional):
1 Si 0.000 0.000 0.000 (multiplicity 2)
2 B 0.126 0.374 0.000 (multiplicity 4)
3 Ru 0.000 0.500 0.500 (multiplicity 2)
4 Ru 0.063 0.210 0.500 (multiplicity 8)
5 W 0.180 0.680 0.000 (multiplicity 4)

Output
Formation energy (no corrections): -0.393 eV per atom
Crystal system: tetragonal
Calculated total energy: -189.99 eV/cell

No. 2
A relaxed structure of ThMgTe3, computed with PBE.

Cell: 4.606 25.106 7.438 Å, 90.00 90.00 90.00°
Space group Ama2 (No. 40)
Symmetry-distinct sites (fractional):
1 Th 0.250 0.169 0.000 (multiplicity 4)
2 Mg 0.250 0.374 0.902 (multiplicity 4)
3 Te 0.250 0.076 0.264 (multiplicity 4)
4 Te 0.250 0.271 0.720 (multiplicity 4)
5 Te 0.250 0.380 0.279 (multiplicity 4)

Output
Formation energy (no corrections): -0.967 eV per atom
Crystal system: orthorhombic
E above lowest polymorph: 0.016 eV/atom
Calculated total energy: -93.10 eV/cell

No. 3
A relaxed structure of Rb2CeSi2O6, computed with PBE.

Cell: 10.325 5.958 6.928 Å, 90.00 119.97 90.00°
Space group C2/m (No. 12)
Symmetry-distinct sites (fractional):
1 Rb 0.222 0.000 0.170 (multiplicity 4)
2 Ce 0.000 0.000 0.500 (multiplicity 2)
3 Si 0.065 0.500 0.199 (multiplicity 4)
4 O 0.015 0.271 0.280 (multiplicity 8)
5 O 0.246 0.500 0.286 (multiplicity 4)

Output
Formation energy (no corrections): -2.594 eV per atom
Crystal system: monoclinic
Calculated total energy: -153.99 eV/cell

No. 4
A relaxed structure of Pr6SmTh2, computed with PBE.

Cell: 3.6453 3.6453 27.5527 Å, 90.00 90.00 120.00°
Space group P-6m2 (No. 187)
Symmetry-distinct sites (fractional):
1 Pr 0.0000 0.0000 0.0633 (multiplicity 2)
2 Pr 0.0000 0.0000 0.2776 (multiplicity 2)
3 Pr 0.3333 0.6667 0.3914 (multiplicity 2)
4 Sm 0.0000 0.0000 0.5000 (multiplicity 1)
5 Th 0.3333 0.6667 0.1696 (multiplicity 2)

Output
Crystal system: hexagonal
Calculated total energy: -47.55 eV/cell